# 1
A geometry-optimized SnBi2S structure. Source: Alexandria, functional PBE.

Computed properties:
- Total energy: -3.8404 eV/atom
- M_tot: 0.00 μB/f.u.
- E_form (uncorrected): 0.13 eV per atom

abc: 5.2953 5.2953 5.2953
angles: 60.00 60.00 60.00
Closest atoms and distances in Å follow each position.
Element x y z (fractional)
Sn (0.0000, 0.0000, 0.0000)  8 Bi 3.24
Bi (0.2500, 0.2500, 0.2500)  4 S 3.24, 4 Sn 3.24
Bi (0.7500, 0.7500, 0.7500)  4 S 3.24, 4 Sn 3.24
S (0.5000, 0.5000, 0.5000)  8 Bi 3.24

---

# 2
A geometry-optimized SnBi2S structure. Source: Alexandria, functional PBE.

Computed properties:
- Total energy: -3.8594 eV/atom
- M_tot: 0.00 μB/f.u.
- E_form (uncorrected): 0.11 eV per atom

abc: 8.7738 8.7738 8.7738
angles: 137.47 137.47 61.72
Closest atoms and distances in Å follow each position.
Element x y z (fractional)
Sn (0.0000, 0.0000, 0.0000)  4 Bi 3.10
Sn (0.7500, 0.2500, 0.5000)  4 Bi 3.10
Bi (0.1707, 0.6250, 0.0457)  2 S 2.79, 2 Sn 3.10
Bi (0.3750, 0.4207, 0.5457)  2 S 2.79, 2 Sn 3.10
Bi (0.5793, 0.1250, 0.9543)  2 S 2.79, 2 Sn 3.10
Bi (0.8750, 0.8293, 0.4543)  2 S 2.79, 2 Sn 3.10
S (0.2500, 0.7500, 0.5000)  4 Bi 2.79
S (0.5000, 0.5000, 0.0000)  4 Bi 2.79

---

# 3
A geometry-optimized Sn3BiS6 structure. Source: Alexandria, functional PBE.

Computed properties:
- Total energy: -4.4107 eV/atom
- M_tot: 0.00 μB/f.u.
- E_form (uncorrected): -0.35 eV per atom

abc: 10.2779 3.8499 13.5018
angles: 90.00 102.61 90.00
Closest atoms and distances in Å follow each position.
Element x y z (fractional)
Sn (0.0601, 0.2500, 0.2899)  6 S 2.64-2.93
Sn (0.3526, 0.7500, 0.4292)  6 S 2.56-2.65
Sn (0.4148, 0.2500, 0.8275)  3 S 2.69-2.70
Sn (0.5852, 0.7500, 0.1725)  3 S 2.69-2.70
Sn (0.6474, 0.2500, 0.5708)  6 S 2.56-2.65
Sn (0.9399, 0.7500, 0.7101)  6 S 2.64-2.93
Bi (0.1697, 0.7500, 0.9618)  6 S 2.74-2.93
Bi (0.8303, 0.2500, 0.0382)  6 S 2.74-2.93
S (0.0352, 0.7500, 0.1317)  2 Sn 2.85, 3 Bi 2.92-2.93
S (0.1030, 0.7500, 0.4288)  3 Sn 2.56-2.66
S (0.2313, 0.7500, 0.7709)  3 Sn 2.69-2.93, 1 Bi 2.79
S (0.3179, 0.2500, 0.2946)  3 Sn 2.62-2.64
S (0.3614, 0.2500, 0.0150)  1 Sn 2.70, 2 Bi 2.74
S (0.3952, 0.2500, 0.5674)  3 Sn 2.58-2.65
S (0.6048, 0.7500, 0.4326)  3 Sn 2.58-2.65
S (0.6386, 0.7500, 0.9850)  1 Sn 2.70, 2 Bi 2.74
S (0.6821, 0.7500, 0.7054)  3 Sn 2.62-2.64
S (0.7687, 0.2500, 0.2291)  3 Sn 2.69-2.93, 1 Bi 2.79
S (0.8970, 0.2500, 0.5712)  3 Sn 2.56-2.66
S (0.9648, 0.2500, 0.8683)  2 Sn 2.85, 3 Bi 2.92-2.93

---

# 4
A geometry-optimized Sn3BiS3 structure. Source: Alexandria, functional PBE.

Computed properties:
- Total energy: -4.2394 eV/atom
- M_tot: 0.00 μB/f.u.
- E_form (uncorrected): -0.20 eV per atom

abc: 7.6104 7.6104 7.6104
angles: 70.20 70.20 70.20
Closest atoms and distances in Å follow each position.
Element x y z (fractional)
Sn (0.0617, 0.7395, 0.4416)  3 S 2.61-2.73
Sn (0.2605, 0.5584, 0.9383)  3 S 2.61-2.73
Sn (0.4416, 0.0617, 0.7395)  3 S 2.61-2.73
Sn (0.5584, 0.9383, 0.2605)  3 S 2.61-2.73
Sn (0.7395, 0.4416, 0.0617)  3 S 2.61-2.73
Sn (0.9383, 0.2605, 0.5584)  3 S 2.61-2.73
Bi (0.1495, 0.1495, 0.1495)  6 Sn 3.23-3.29, 3 S 3.49
Bi (0.8505, 0.8505, 0.8505)  6 Sn 3.23-3.29, 3 S 3.49
S (0.1535, 0.3869, 0.6677)  3 Sn 2.61-2.73
S (0.3323, 0.8465, 0.6131)  3 Sn 2.61-2.73
S (0.3869, 0.6677, 0.1535)  3 Sn 2.61-2.73
S (0.6131, 0.3323, 0.8465)  3 Sn 2.61-2.73
S (0.6677, 0.1535, 0.3869)  3 Sn 2.61-2.73
S (0.8465, 0.6131, 0.3323)  3 Sn 2.61-2.73

---

# 5
A geometry-optimized Sn4BiS5 structure. Source: Alexandria, functional PBE.

Computed properties:
- Total energy: -4.3822 eV/atom
- M_tot: 0.00 μB/f.u.
- E_form (uncorrected): -0.33 eV per atom

abc: 7.1875 7.1875 7.1875
angles: 99.85 99.85 131.13
Closest atoms and distances in Å follow each position.
Element x y z (fractional)
Sn (0.1028, 0.7017, 0.8045)  5 S 2.79-3.01
Sn (0.2983, 0.1028, 0.4011)  5 S 2.79-3.01
Sn (0.7017, 0.8972, 0.5989)  5 S 2.79-3.01
Sn (0.8972, 0.2983, 0.1955)  5 S 2.79-3.01
Bi (0.5016, 0.5016, 0.0000)  6 S 2.89-3.05
S (0.2373, 0.4297, 0.6038)  4 Sn 2.79-3.01, 1 Bi 2.89
S (0.4297, 0.8260, 0.1924)  4 Sn 2.79-3.01, 1 Bi 2.89
S (0.6336, 0.2373, 0.8076)  4 Sn 2.79-3.01, 1 Bi 2.89
S (0.8260, 0.6336, 0.3962)  4 Sn 2.79-3.01, 1 Bi 2.89
S (0.9883, 0.9883, 0.0000)  2 Bi 2.89-3.05, 4 Sn 2.92

---

# 6
A geometry-optimized SnBiS4 structure. Source: Alexandria, functional PBE.

Computed properties:
- Total energy: -4.2594 eV/atom
- M_tot: 0.00 μB/f.u.
- E_form (uncorrected): -0.19 eV per atom

abc: 6.9939 6.9939 6.6442
angles: 98.99 98.99 31.37
Closest atoms and distances in Å follow each position.
Element x y z (fractional)
Sn (0.0000, 0.0000, 0.0000)  6 S 2.59-2.61
Bi (0.5000, 0.5000, 0.5000)  6 S 2.75-2.76
S (0.1169, 0.1169, 0.3502)  1 Sn 2.59, 2 Bi 2.75
S (0.3871, 0.3871, 0.1138)  2 Sn 2.61, 1 Bi 2.76
S (0.6129, 0.6129, 0.8862)  2 Sn 2.61, 1 Bi 2.76
S (0.8831, 0.8831, 0.6498)  1 Sn 2.59, 2 Bi 2.75